# 1
{"formula": "Na3CdHg3", "functional": "PBE", "state": "relaxed", "de_polymorph_mev_per_atom": 22, "dft_energy_ev_per_atom": -0.99, "mass_density_g_cm3": 7.2, "lattice_angstrom": [[8.706, 0.000, 0.000], [-4.353, 7.540, 0.000], [0.000, 0.000, 5.506]], "species": ["Na", "Na", "Na", "Na", "Na", "Na", "Cd", "Cd", "Hg", "Hg", "Hg", "Hg", "Hg", "Hg"], "fractional_positions": [[0.089, 0.456, 0.250], [0.366, 0.911, 0.250], [0.456, 0.366, 0.750], [0.544, 0.634, 0.250], [0.634, 0.089, 0.750], [0.911, 0.544, 0.750], [0.333, 0.667, 0.750], [0.667, 0.333, 0.250], [0.048, 0.244, 0.750], [0.196, 0.952, 0.750], [0.244, 0.196, 0.250], [0.756, 0.804, 0.750], [0.804, 0.048, 0.250], [0.952, 0.756, 0.250]]}

***

# 2
{"formula": "Na4CdHg", "functional": "PBE", "state": "relaxed", "de_polymorph_mev_per_atom": 127, "dft_energy_ev_per_atom": -1.03, "mass_density_g_cm3": 3.7, "lattice_angstrom": [[0.000, 4.505, 4.505], [4.505, 0.000, 4.505], [4.505, 4.505, 0.000]], "species": ["Na", "Na", "Na", "Na", "Cd", "Hg"], "fractional_positions": [[0.125, 0.125, 0.125], [0.125, 0.125, 0.625], [0.125, 0.625, 0.125], [0.625, 0.125, 0.125], [0.500, 0.500, 0.500], [0.750, 0.750, 0.750]]}